## Cs3Mn3V4O16 (PBE+U)

Data for an optimized crystal structure of Cs3Mn3V4O16.

Unit cell a=5.297 b=7.631 c=11.785 alpha=102.19 beta=89.96 gamma=97.81
Each line ends with the local moment (μB).
Fractional coordinates of all 26 atoms:
Cs  0.873  0.261  0.520  0.00
Cs  0.000  0.000  0.000  0.00
Cs  0.127  0.739  0.480  0.00
Mn  0.011  0.559  0.131  3.93
Mn  0.989  0.441  0.869  3.93
Mn  0.500  0.500  0.000  3.88
V  0.476  0.674  0.765  0.08
V  0.534  0.867  0.232  0.10
V  0.524  0.326  0.235  0.08
V  0.466  0.133  0.768  0.10
O  0.660  0.606  0.871  -0.01
O  0.781  0.239  0.766  -0.03
O  0.340  0.394  0.129  -0.01
O  0.383  0.358  0.362  0.00
O  0.299  0.271  0.870  0.03
O  0.617  0.642  0.638  0.00
O  0.828  0.452  0.253  -0.03
O  0.338  0.101  0.635  0.00
O  0.701  0.729  0.130  0.03
O  0.455  0.916  0.814  0.00
O  0.196  0.613  0.993  -0.15
O  0.662  0.899  0.365  0.00
O  0.219  0.761  0.234  -0.03
O  0.545  0.084  0.186  0.00
O  0.804  0.387  0.007  -0.15
O  0.172  0.548  0.747  -0.03

raw total energy = -183.2 eV for the cell shown
space group = P-1 (2)